# Y3ReO7 | Alexandria | GGA-PBE | relaxed
data_Y3ReO7
_chemical_formula_sum 'Y12 Re4 O28'
_cell_length_a 7.570
_cell_length_b 10.552
_cell_length_c 7.438
_cell_angle_alpha 90.00
_cell_angle_beta 90.00
_cell_angle_gamma 90.00
_symmetry_space_group_name_H-M 'C 2 2 21'
_symmetry_Int_Tables_number 20
loop_
_symmetry_equiv_pos_as_xyz
'x,y,z'
'-x,-y,z+1/2'
'x,-y,-z'
'-x,y,-z+1/2'
'x+1/2,y+1/2,z'
'-x+1/2,-y+1/2,z+1/2'
'x+1/2,-y+1/2,-z'
'-x+1/2,y+1/2,-z+1/2'
loop_
_atom_site_label
_atom_site_type_symbol
_atom_site_fract_x
_atom_site_fract_y
_atom_site_fract_z
_atom_site_occupancy
Y1 Y 0.033 0.000 0.000 1
Y2 Y 0.233 0.267 0.756 1
Re1 Re 0.001 0.500 0.000 1
O1 O 0.000 0.130 0.250 1
O2 O 0.000 0.138 0.750 1
O3 O 0.000 0.430 0.750 1
O4 O 0.181 0.373 0.036 1
O5 O 0.203 0.378 0.476 1
# **Spin magnetization**: 8.02 μB/cell
# **Total energy**: -8.945 eV/atom


# Y7ReO14 | Alexandria | GGA-PBE | relaxed
data_Y7ReO14
_chemical_formula_sum 'Y14 Re2 O28'
_cell_length_a 7.624
_cell_length_b 10.675
_cell_length_c 7.574
_cell_angle_alpha 90.00
_cell_angle_beta 90.00
_cell_angle_gamma 90.00
_symmetry_space_group_name_H-M 'P n n m'
_symmetry_Int_Tables_number 58
loop_
_symmetry_equiv_pos_as_xyz
'x,y,z'
'-x,-y,-z'
'-x,-y,z'
'x,y,-z'
'x+1/2,-y+1/2,-z+1/2'
'-x+1/2,y+1/2,z+1/2'
'-x+1/2,y+1/2,-z+1/2'
'x+1/2,-y+1/2,z+1/2'
loop_
_atom_site_label
_atom_site_type_symbol
_atom_site_fract_x
_atom_site_fract_y
_atom_site_fract_z
_atom_site_occupancy
Y1 Y 0.000 0.000 0.000 1
Y2 Y 0.000 0.000 0.500 1
Y3 Y 0.000 0.500 0.000 1
Y4 Y 0.240 0.264 0.267 1
Re1 Re 0.000 0.500 0.500 1
O1 O 0.009 0.135 0.230 1
O2 O 0.065 0.611 0.321 1
O3 O 0.224 0.364 0.000 1
O4 O 0.225 0.417 0.500 1
O5 O 0.234 0.636 0.000 1
# **Spin magnetization**: 0.00 μB/cell
# **Energy relative to the lowest polymorph listed for this composition**: 0 meV per atom
# **Total energy**: -8.894 eV/atom


# Y2ReO | Alexandria | GGA-PBE | relaxed
data_Y2ReO
_chemical_formula_sum 'Y8 Re4 O4'
_cell_length_a 6.625
_cell_length_b 6.625
_cell_length_c 7.688
_cell_angle_alpha 90.00
_cell_angle_beta 90.00
_cell_angle_gamma 90.00
_symmetry_space_group_name_H-M 'I -4 2 d'
_symmetry_Int_Tables_number 122
_symmetry_space_group_name_Hall 'I -4 2bw'
loop_
_atom_site_label
_atom_site_type_symbol
_atom_site_fract_x
_atom_site_fract_y
_atom_site_fract_z
_atom_site_occupancy
Y1 Y 0.170 0.250 0.125 1
Re1 Re 0.000 0.000 0.500 1
O1 O 0.000 0.000 0.000 1
# **Spin magnetization**: 3.99 μB/cell
# **Total energy**: -8.303 eV/atom


# Y4ReO10 | Alexandria | GGA-PBE | relaxed
data_Y4ReO10
_chemical_formula_sum 'Y8 Re2 O20'
_cell_length_a 8.347
_cell_length_b 8.347
_cell_length_c 5.334
_cell_angle_alpha 90.00
_cell_angle_beta 90.00
_cell_angle_gamma 90.00
_symmetry_space_group_name_H-M 'I 4/m'
_symmetry_Int_Tables_number 87
_symmetry_space_group_name_Hall '-I 4'
loop_
_atom_site_label
_atom_site_type_symbol
_atom_site_fract_x
_atom_site_fract_y
_atom_site_fract_z
_atom_site_occupancy
Y1 Y 0.098 0.696 0.000 1
Re1 Re 0.000 0.000 0.500 1
O1 O 0.000 0.500 0.250 1
O2 O 0.096 0.178 0.276 1
# **Spin magnetization**: 0.00 μB/cell
# **Total energy**: -8.445 eV/atom


# Y2ReO2 | Alexandria | GGA-PBE | relaxed
data_Y2ReO2
_chemical_formula_sum 'Y4 Re2 O4'
_cell_length_a 7.360
_cell_length_b 7.360
_cell_length_c 2.917
_cell_angle_alpha 90.00
_cell_angle_beta 90.00
_cell_angle_gamma 90.00
_symmetry_space_group_name_H-M 'P 4/m b m'
_symmetry_Int_Tables_number 127
_symmetry_space_group_name_Hall '-P 4 2ab'
loop_
_atom_site_label
_atom_site_type_symbol
_atom_site_fract_x
_atom_site_fract_y
_atom_site_fract_z
_atom_site_occupancy
Y1 Y 0.150 0.350 0.000 1
Re1 Re 0.000 0.000 0.000 1
O1 O 0.122 0.622 0.500 1
# **Spin magnetization**: 1.70 μB/cell
# **Energy relative to the lowest polymorph listed for this composition**: 651 meV per atom
# **Total energy**: -7.916 eV/atom


# Y2ReO | Alexandria | GGA-PBE | relaxed
data_Y2ReO
_chemical_formula_sum 'Y6 Re3 O3'
_cell_length_a 3.3812
_cell_length_b 3.3812
_cell_length_c 21.9979
_cell_angle_alpha 90.00
_cell_angle_beta 90.00
_cell_angle_gamma 120.00
_symmetry_space_group_name_H-M 'R -3 m'
_symmetry_Int_Tables_number 166
_symmetry_space_group_name_Hall '-R 3 2"'
loop_
_atom_site_label
_atom_site_type_symbol
_atom_site_fract_x
_atom_site_fract_y
_atom_site_fract_z
_atom_site_occupancy
Y1 Y 0.0000 0.0000 0.2356 1
Re1 Re 0.0000 0.0000 0.0000 1
O1 O 0.0000 0.0000 0.5000 1
# **Spin magnetization**: 0.00 μB/cell
# **Total energy**: -8.667 eV/atom


# YReO3 | Alexandria | GGA-PBE | relaxed
data_YReO3
_chemical_formula_sum 'Y1 Re1 O3'
_cell_length_a 3.940
_cell_length_b 3.940
_cell_length_c 3.940
_cell_angle_alpha 90.00
_cell_angle_beta 90.00
_cell_angle_gamma 90.00
_symmetry_space_group_name_H-M 'P m -3 m'
_symmetry_Int_Tables_number 221
_symmetry_space_group_name_Hall '-P 4 2 3'
loop_
_atom_site_label
_atom_site_type_symbol
_atom_site_fract_x
_atom_site_fract_y
_atom_site_fract_z
_atom_site_occupancy
Y1 Y 0.000 0.000 0.000 1
Re1 Re 0.500 0.500 0.500 1
O1 O 0.000 0.500 0.500 1
# **Spin magnetization**: 0.00 μB/cell
# **Total energy**: -8.409 eV/atom


# Y7ReO14 | Alexandria | GGA-PBE | relaxed
data_Y7ReO14
_chemical_formula_sum 'Y21 Re3 O42'
_cell_length_a 7.5300
_cell_length_b 7.5300
_cell_length_c 19.0602
_cell_angle_alpha 90.00
_cell_angle_beta 90.00
_cell_angle_gamma 120.00
_symmetry_space_group_name_H-M 'R -3 m'
_symmetry_Int_Tables_number 166
_symmetry_space_group_name_Hall '-R 3 2"'
loop_
_atom_site_label
_atom_site_type_symbol
_atom_site_fract_x
_atom_site_fract_y
_atom_site_fract_z
_atom_site_occupancy
Y1 Y 0.0000 0.0000 0.0000 1
Y2 Y 0.0000 0.5000 0.0000 1
Y3 Y 0.0000 0.5000 0.5000 1
Re1 Re 0.0000 0.0000 0.5000 1
O1 O 0.0000 0.0000 0.1375 1
O2 O 0.0248 0.5124 0.3776 1
O3 O 0.0888 0.5444 0.1140 1
# **Spin magnetization**: 0.00 μB/cell
# **Energy relative to the lowest polymorph listed for this composition**: 52 meV per atom
# **Total energy**: -8.842 eV/atom


Q: spin magnetization of number 3 (Y2ReO)?
A: 3.99 μB/cell